<a>
{
  "formula": "GeIrF3",
  "functional": "PBE",
  "state": "relaxed",
  "lattice_angstrom": [[4.262, 0.000, 0.000], [0.000, 4.262, 0.000], [0.000, 0.000, 4.262]],
  "species": ["Ge", "Ir", "F", "F", "F"],
  "fractional_positions": [[0.000, 0.000, 0.000], [0.500, 0.500, 0.500], [0.000, 0.500, 0.500], [0.500, 0.000, 0.500], [0.500, 0.500, 0.000]],
  "spacegroup": "Pm-3m, No. 221",
  "total_magnetization_mub_per_cell": 0.00,
  "n_ef_per_ev_cell": 3.43
}


<b>
{
  "formula": "GeIrF3",
  "functional": "PBE",
  "state": "relaxed",
  "lattice_angstrom": [[4.301, 0.000, 0.000], [0.000, 4.301, 0.000], [0.000, 0.000, 4.301]],
  "species": ["Ge", "Ir", "F", "F", "F"],
  "fractional_positions": [[0.000, 0.000, 0.000], [0.500, 0.500, 0.500], [0.000, 0.000, 0.500], [0.000, 0.500, 0.000], [0.500, 0.000, 0.000]],
  "spacegroup": "Pm-3m, No. 221",
  "total_magnetization_mub_per_cell": 2.34,
  "n_ef_per_ev_cell": 14.06
}


Which of them is the most stable, and which is the least stable? <a> and <b>, in that order.


<a>
{
  "formula": "GeIrN2F",
  "functional": "PBE",
  "state": "relaxed",
  "lattice_angstrom": [[3.884, 0.000, 0.000], [0.000, 3.884, 0.000], [0.000, 0.000, 3.599]],
  "species": ["Ge", "Ir", "N", "N", "F"],
  "fractional_positions": [[0.000, 0.000, 0.000], [0.500, 0.500, 0.500], [0.000, 0.500, 0.000], [0.500, 0.000, 0.000], [0.000, 0.000, 0.500]],
  "spacegroup": "P4/mmm, No. 123",
  "total_magnetization_mub_per_cell": 0.35,
  "n_ef_per_ev_cell": 3.89
}


<b>
{
  "formula": "GeIrN2F",
  "functional": "PBE",
  "state": "relaxed",
  "lattice_angstrom": [[3.726, 0.000, 0.000], [0.000, 3.726, 0.000], [0.000, 0.000, 5.636]],
  "species": ["Ge", "Ir", "N", "N", "F"],
  "fractional_positions": [[0.000, 0.000, 0.000], [0.500, 0.500, 0.500], [0.000, 0.500, 0.500], [0.500, 0.000, 0.500], [0.500, 0.500, 0.000]],
  "spacegroup": "P4/mmm, No. 123",
  "total_magnetization_mub_per_cell": 0.45,
  "n_ef_per_ev_cell": 1.93
}


Which of them is the most stable, and which is the least stable? <b> and <a>, in that order.


<a>
{
  "formula": "GeIrNF2",
  "functional": "PBE",
  "state": "relaxed",
  "lattice_angstrom": [[4.495, 0.000, 0.000], [0.000, 4.495, 0.000], [0.000, 0.000, 3.689]],
  "species": ["Ge", "Ir", "N", "F", "F"],
  "fractional_positions": [[0.000, 0.000, 0.000], [0.500, 0.500, 0.500], [0.500, 0.500, 0.000], [0.000, 0.500, 0.500], [0.500, 0.000, 0.500]],
  "spacegroup": "P4/mmm, No. 123",
  "total_magnetization_mub_per_cell": 0.00,
  "n_ef_per_ev_cell": 3.26
}


<b>
{
  "formula": "GeIrNF2",
  "functional": "PBE",
  "state": "relaxed",
  "lattice_angstrom": [[3.884, 0.000, 0.000], [0.000, 3.884, 0.000], [0.000, 0.000, 4.162]],
  "species": ["Ge", "Ir", "N", "F", "F"],
  "fractional_positions": [[0.000, 0.000, 0.000], [0.500, 0.500, 0.500], [0.000, 0.000, 0.500], [0.000, 0.500, 0.000], [0.500, 0.000, 0.000]],
  "spacegroup": "P4/mmm, No. 123",
  "total_magnetization_mub_per_cell": 1.81,
  "n_ef_per_ev_cell": 5.20
}


Which of them is the most stable, and which is the least stable? <a> and <b>, in that order.


<a>
{
  "formula": "GeIrOF2",
  "functional": "PBE",
  "state": "relaxed",
  "lattice_angstrom": [[4.495, 0.000, 0.000], [0.000, 4.495, 0.000], [0.000, 0.000, 3.730]],
  "species": ["Ge", "Ir", "O", "F", "F"],
  "fractional_positions": [[0.000, 0.000, 0.000], [0.500, 0.500, 0.500], [0.500, 0.500, 0.000], [0.000, 0.500, 0.500], [0.500, 0.000, 0.500]],
  "spacegroup": "P4/mmm, No. 123",
  "total_magnetization_mub_per_cell": 0.00,
  "n_ef_per_ev_cell": 2.42
}


<b>
{
  "formula": "GeIrOF2",
  "functional": "PBE",
  "state": "relaxed",
  "lattice_angstrom": [[4.240, 0.000, 0.000], [0.000, 4.240, 0.000], [0.000, 0.000, 3.807]],
  "species": ["Ge", "Ir", "O", "F", "F"],
  "fractional_positions": [[0.000, 0.000, 0.000], [0.500, 0.500, 0.500], [0.000, 0.000, 0.500], [0.000, 0.500, 0.000], [0.500, 0.000, 0.000]],
  "spacegroup": "P4/mmm, No. 123",
  "total_magnetization_mub_per_cell": 2.11,
  "n_ef_per_ev_cell": 6.64
}


Which of them is the most stable, and which is the least stable? <a> and <b>, in that order.